Below is a relaxed SiPt4Au crystal, with properties calculated at the PBE level.

Cell lengths 5.2927, 5.2927, 5.2927 Å; angles 60.00, 60.00, 60.00 degrees
Atoms (fractional coordinates):
Si (0.0000, 0.0000, 0.0000)
Pt (0.3750, 0.3750, 0.3750)
Pt (0.3750, 0.3750, 0.8749)
Pt (0.3750, 0.8749, 0.3750)
Pt (0.8749, 0.3750, 0.3750)
Au (0.7500, 0.7500, 0.7500)

- SG = F-43m (216)
- D(E_F) (states/eV/cell) = 4.854
- energy relative to the lowest polymorph listed for this composition (meV/atom) = 452

Below is a relaxed YSbPbI2 crystal, with properties calculated at the PBE level.

Cell lengths 5.8267, 5.8267, 6.1661 Å; angles 90.00, 90.00, 90.00 degrees
Atoms (fractional coordinates):
Y (0.0000, 0.0000, 0.0000)
Sb (0.0000, 0.0000, 0.5000)
Pb (0.5000, 0.5000, 0.5000)
I (0.0000, 0.5000, 0.0000)
I (0.5000, 0.0000, 0.0000)

- SG = P4/mmm (123)
- D(E_F) (states/eV/cell) = 2.403
- energy relative to the lowest polymorph listed for this composition (meV/atom) = 0

Below is a relaxed TbCe2Os crystal, with properties calculated at the PBE level.

Cell lengths 3.5739, 3.5739, 8.0778 Å; angles 90.00, 90.00, 90.00 degrees
Atoms (fractional coordinates):
Tb (0.0000, 0.0000, 0.0000)
Ce (0.5000, 0.5000, 0.3042)
Ce (0.5000, 0.5000, 0.6958)
Os (0.0000, 0.0000, 0.5000)

- SG = P4/mmm (123)
- D(E_F) (states/eV/cell) = 10.081
- energy of formation from the pure elements (meV/atom) = 26.5
- energy relative to the lowest polymorph listed for this composition (meV/atom) = 174

Below is a relaxed HfGeN2F crystal, with properties calculated at the PBE level.

Cell lengths 3.8959, 3.8959, 3.6955 Å; angles 90.00, 90.00, 90.00 degrees
Atoms (fractional coordinates):
Hf (0.0000, 0.0000, 0.0000)
Ge (0.5000, 0.5000, 0.5000)
N (0.0000, 0.5000, 0.5000)
N (0.5000, 0.0000, 0.5000)
F (0.5000, 0.5000, 0.0000)

- SG = P4/mmm (123)
- D(E_F) (states/eV/cell) = 1.426
- energy relative to the lowest polymorph listed for this composition (meV/atom) = 427

Below is a relaxed La6YHo2Tm crystal, with properties calculated at the PBE level.

Cell lengths 9.0459, 9.0459, 9.7794 Å; angles 94.29, 94.29, 118.20 degrees
Atoms (fractional coordinates):
La (0.0023, 0.5600, 0.1946)
La (0.1121, 0.7600, 0.5497)
La (0.2400, 0.8879, 0.9503)
La (0.2943, 0.5063, 0.3805)
La (0.4400, 0.9977, 0.3054)
La (0.4937, 0.7057, 0.1195)
La (0.5063, 0.2943, 0.8805)
La (0.5600, 0.0023, 0.6946)
La (0.7057, 0.4937, 0.6195)
La (0.7600, 0.1121, 0.0497)
La (0.8879, 0.2400, 0.4503)
La (0.9977, 0.4400, 0.8054)
Y (0.0244, 0.9756, 0.2500)
Y (0.9756, 0.0244, 0.7500)
Ho (0.1981, 0.2947, 0.0448)
Ho (0.2947, 0.1981, 0.5448)
Ho (0.7053, 0.8019, 0.4552)
Ho (0.8019, 0.7053, 0.9552)
Tm (0.4132, 0.5868, 0.7500)
Tm (0.5868, 0.4132, 0.2500)

- SG = C2/c (15)
- D(E_F) (states/eV/cell) = 31.000
- energy of formation from the pure elements (meV/atom) = 109.0

Below is a relaxed AcPrY3Er crystal, with properties calculated at the PBE level.

Cell lengths 8.2033, 5.1890, 10.2988 Å; angles 90.00, 108.57, 90.00 degrees
Atoms (fractional coordinates):
Ac (0.1665, 0.2500, 0.2942)
Ac (0.8335, 0.7500, 0.7058)
Pr (0.4970, 0.7500, 0.8743)
Pr (0.5030, 0.2500, 0.1257)
Y (0.1685, 0.7500, 0.0406)
Y (0.1714, 0.2500, 0.7911)
Y (0.1723, 0.7500, 0.5453)
Y (0.8277, 0.2500, 0.4547)
Y (0.8286, 0.7500, 0.2089)
Y (0.8315, 0.2500, 0.9594)
Er (0.4987, 0.2500, 0.6253)
Er (0.5013, 0.7500, 0.3747)

- SG = P2_1/m (11)
- D(E_F) (states/eV/cell) = 20.544
- energy of formation from the pure elements (meV/atom) = 46.4